Entry 1:
The following is a DFT calculation (PBE-GGA) of TaNb5Ga3 after structural relaxation.

Properties
energy of formation	0.50	eV/atom
uncorrected energy	-133.57	eV for the cell shown
DOS(E_F)	0.715	states/eV/atom
crystal system	monoclinic

Structure (POSCAR):
```
TaNb5Ga3
1.0
5.499 -3.800 0.000
5.499 3.800 0.000
-3.400 0.000 8.710
Ta Nb Ga
2 10 6
Direct
0.206 0.206 0.254
0.794 0.794 0.746
0.092 0.671 0.306
0.233 0.233 0.952
0.315 0.315 0.670
0.329 0.671 0.000
0.329 0.908 0.694
0.671 0.092 0.306
0.671 0.329 0.000
0.685 0.685 0.330
0.767 0.767 0.048
0.908 0.329 0.694
0.000 0.000 0.000
0.090 0.090 0.445
0.434 0.434 0.202
0.500 0.500 0.500
0.566 0.566 0.798
0.910 0.910 0.555
```

Entry 2:
The following is a DFT calculation (PBE-GGA) of La4Mg3Al after structural relaxation.

Properties
energy of formation	-0.18	eV/atom
uncorrected energy	-29.71	eV for the cell shown
DOS(E_F)	1.092	states/eV/atom
crystal system	trigonal

Structure (POSCAR):
```
La4Mg3Al
1.0
2.764 1.596 9.050
-2.764 1.596 9.050
0.000 -3.192 9.050
La Mg Al
4 3 1
Direct
0.122 0.122 0.122
0.372 0.372 0.372
0.628 0.628 0.628
0.878 0.878 0.878
0.247 0.247 0.247
0.500 0.500 0.500
0.753 0.753 0.753
0.000 0.000 0.000
```

Entry 3:
The following is a DFT calculation (PBE-GGA) of Tm3Mn3B8 after structural relaxation.

Properties
energy of formation	-0.29	eV/atom
uncorrected energy	-98.37	eV for the cell shown
DOS(E_F)	0.443	states/eV/atom
crystal system	orthorhombic

Structure (POSCAR):
```
Tm3Mn3B8
1.0
-1.594 3.712 6.491
1.594 -3.712 6.491
1.594 3.712 -6.491
Tm Mn B
3 3 8
Direct
0.000 0.000 0.000
0.280 0.280 0.000
0.720 0.720 0.000
0.293 0.500 0.793
0.500 0.000 0.500
0.707 0.500 0.207
0.023 0.365 0.658
0.141 0.877 0.265
0.292 0.635 0.658
0.388 0.123 0.265
0.612 0.877 0.735
0.708 0.365 0.342
0.859 0.123 0.735
0.977 0.635 0.342
```